<i>
Below is an optimized crystal structure of BaIn3Pb, with properties calculated at the PBE-GGA level.

Summary:
The calculation puts the size of the total moment at 0.000 μB per atom.

abc: 6.8218 6.9998 7.0205
angles: 90.00 90.00 90.00
Last column: nearest neighbours and their distance in Å.
Positions (direct):
Ba 0.0000 0.2377 0.0000  3 Pb 3.47-3.67, 7 In 3.47-3.87
Ba 0.5000 0.7623 0.5000  3 Pb 3.47-3.67, 7 In 3.47-3.87
In 0.0000 0.6043 0.6663  1 Pb 2.97, 4 In 3.09-3.11
In 0.2486 0.2670 0.5086  4 In 3.09-3.43, 2 Pb 3.23-3.25
In 0.2514 0.7330 0.0086  4 In 3.09-3.43, 2 Pb 3.23-3.25
In 0.5000 0.3957 0.1663  1 Pb 2.97, 4 In 3.09-3.11
In 0.7486 0.7330 0.0086  4 In 3.09-3.43, 2 Pb 3.23-3.25
In 0.7514 0.2670 0.5086  4 In 3.09-3.43, 2 Pb 3.23-3.25
Pb 0.0000 0.9022 0.3642  5 In 2.97-3.25
Pb 0.5000 0.0978 0.8642  5 In 2.97-3.25


<ii>
Below is an optimized crystal structure of BaIn3Pb, with properties calculated at the PBE-GGA level.

Summary:
The calculation puts the size of the total moment at 0.000 μB per atom.

abc: 6.2232 6.2232 6.2232
angles: 90.00 90.00 90.00
Last column: nearest neighbours and their distance in Å.
Positions (direct):
Ba 0.0000 0.0000 0.0000  6 In 3.11
In 0.0000 0.0000 0.5000  2 Ba 3.11
In 0.0000 0.5000 0.0000  2 Ba 3.11
In 0.5000 0.0000 0.0000  2 Ba 3.11
Pb 0.5000 0.5000 0.5000  12 In 4.40


Stability ranking, top entry: <i>; the second entry is 1032 meV/atom less favorable.


<i>
Below is an optimized crystal structure of BaIn3Pb, with properties calculated at the PBE-GGA level.

Summary:
The calculation puts the size of the total moment at 0.000 μB per atom.

abc: 4.9570 4.9616 7.2550
angles: 74.82 74.64 88.43
Last column: nearest neighbours and their distance in Å.
Positions (direct):
Ba 0.0000 0.0000 0.0000  4 Pb 3.74-4.02, 8 In 3.75-4.05
In 0.2407 0.7897 0.4813  3 In 2.98-3.12, 2 Pb 3.07-3.27
In 0.3995 0.4004 0.2227  4 In 2.98-3.11, 1 Pb 3.07
In 0.7873 0.2391 0.4815  3 In 2.98-3.12, 2 Pb 3.07-3.27
Pb 0.6087 0.6081 0.7689  5 In 3.07-3.27


<ii>
Below is an optimized crystal structure of BaIn3Pb, with properties calculated at the PBE-GGA level.

Summary:
The calculation puts the size of the total moment at 0.000 μB per atom.

abc: 5.8936 5.8936 5.8936
angles: 90.00 90.00 90.00
Last column: nearest neighbours and their distance in Å.
Positions (direct):
Ba 0.0000 0.0000 0.0000  12 In 4.17
In 0.0000 0.5000 0.5000  2 Pb 2.95
In 0.5000 0.0000 0.5000  2 Pb 2.95
In 0.5000 0.5000 0.0000  2 Pb 2.95
Pb 0.5000 0.5000 0.5000  6 In 2.95


Stability ranking, top entry: <i>; the second entry is 402 meV/atom less favorable.


<i>
Below is an optimized crystal structure of BaInPb4, with properties calculated at the PBE-GGA level.

Summary:
The calculation puts the size of the total moment at 0.000 μB per atom.

abc: 6.3101 6.3136 11.1240
angles: 104.60 104.57 96.05
Last column: nearest neighbours and their distance in Å.
Positions (direct):
Ba 0.2345 0.2664 0.0000  10 Pb 3.56-3.87
Ba 0.7655 0.7336 0.0000  10 Pb 3.56-3.87
In 0.0000 0.5000 0.5000  2 Pb 3.04
In 0.5000 0.0000 0.5000  2 Pb 3.04
Pb 0.0579 0.0959 0.6546  5 Pb 3.21-3.51, 2 In 3.42, 1 Ba 3.56
Pb 0.1741 0.6756 0.7944  1 In 3.04
Pb 0.3829 0.8846 0.2056  1 In 3.04
Pb 0.4057 0.4439 0.3454  5 Pb 3.21-3.51, 2 In 3.41-3.43, 1 Ba 3.56
Pb 0.5943 0.5561 0.6546  5 Pb 3.21-3.51, 2 In 3.41-3.43, 1 Ba 3.56
Pb 0.6171 0.1154 0.7944  1 In 3.04
Pb 0.8259 0.3244 0.2056  1 In 3.04
Pb 0.9421 0.9041 0.3454  5 Pb 3.21-3.51, 2 In 3.42, 1 Ba 3.56


<ii>
Below is an optimized crystal structure of BaInPb4, with properties calculated at the PBE-GGA level.

Summary:
The calculation puts the size of the total moment at 0.000 μB per atom.

abc: 6.6371 6.6371 6.6371
angles: 60.00 60.00 60.00
Last column: nearest neighbours and their distance in Å.
Positions (direct):
Ba 0.0000 0.0000 0.0000  12 Pb 3.89, 4 In 4.06
In 0.7500 0.7500 0.7500  12 Pb 3.89, 4 Ba 4.06
Pb 0.3737 0.3737 0.3737  6 Pb 3.28-3.35
Pb 0.3737 0.3737 0.8788  6 Pb 3.28-3.35
Pb 0.3737 0.8788 0.3737  6 Pb 3.28-3.35
Pb 0.8788 0.3737 0.3737  6 Pb 3.28-3.35


Stability ranking, top entry: <ii>; the second entry is 50 meV/atom less favorable.


<i>
Below is an optimized crystal structure of Ba3InPd3, with properties calculated at the PBE-GGA level.

Summary:
The calculation puts the size of the total moment at 0.000 μB per atom.

abc: 9.6093 9.6093 6.4128
angles: 90.00 90.00 120.00
Last column: nearest neighbours and their distance in Å.
Positions (direct):
Ba 0.0595 0.3610 0.2500  5 Pd 3.21-3.32
Ba 0.3015 0.9405 0.2500  5 Pd 3.21-3.32
Ba 0.3610 0.3015 0.7500  5 Pd 3.21-3.32
Ba 0.6390 0.6985 0.2500  5 Pd 3.21-3.32
Ba 0.6985 0.0595 0.7500  5 Pd 3.21-3.32
Ba 0.9405 0.6390 0.7500  5 Pd 3.21-3.32
In 0.3333 0.6667 0.7500  3 Pd 2.67
In 0.6667 0.3333 0.2500  3 Pd 2.67
Pd 0.0652 0.3792 0.7500  1 In 2.67
Pd 0.3140 0.9348 0.7500  1 In 2.67
Pd 0.3792 0.3140 0.2500  1 In 2.67
Pd 0.6208 0.6860 0.7500  1 In 2.67
Pd 0.6860 0.0652 0.2500  1 In 2.67
Pd 0.9348 0.6208 0.2500  1 In 2.67


<ii>
Below is an optimized crystal structure of Ba3InPd3, with properties calculated at the PBE-GGA level.

Summary:
The calculation puts the size of the total moment at 0.000 μB per atom.

abc: 6.4088 6.4088 15.2976
angles: 90.00 90.00 137.83
Last column: nearest neighbours and their distance in Å.
Positions (direct):
Ba 0.0059 0.9941 0.7500  6 Pd 3.25-3.49
Ba 0.2839 0.7161 0.6062  6 Pd 3.35-3.45
Ba 0.2839 0.7161 0.8938  6 Pd 3.35-3.45
Ba 0.7161 0.2839 0.1062  6 Pd 3.35-3.45
Ba 0.7161 0.2839 0.3938  6 Pd 3.35-3.45
Ba 0.9941 0.0059 0.2500  6 Pd 3.25-3.49
In 0.0000 0.0000 0.0000  4 Pd 2.79
In 0.0000 0.0000 0.5000  4 Pd 2.79
Pd 0.3026 0.6974 0.2500  2 Pd 2.93, 2 Ba 3.25
Pd 0.4293 0.5707 0.0864  2 In 2.79, 1 Pd 2.93
Pd 0.4293 0.5707 0.4136  2 In 2.79, 1 Pd 2.93
Pd 0.5707 0.4293 0.5864  2 In 2.79, 1 Pd 2.93
Pd 0.5707 0.4293 0.9136  2 In 2.79, 1 Pd 2.93
Pd 0.6974 0.3026 0.7500  2 Pd 2.93, 2 Ba 3.25


Stability ranking, top entry: <ii>; the second entry is 120 meV/atom less favorable.


<i>
Below is an optimized crystal structure of Ba3In8Pd3, with properties calculated at the PBE-GGA level.

Summary:
The calculation puts the size of the total moment at 0.000 μB per atom.

abc: 9.3145 9.3145 9.7962
angles: 121.55 121.55 31.73
Last column: nearest neighbours and their distance in Å.
Positions (direct):
Ba 0.0000 0.0000 0.0000  8 In 3.55-3.64, 4 Pd 3.81
Ba 0.2843 0.2843 0.2899  11 In 3.42-3.77, 3 Pd 3.48-3.59
Ba 0.7157 0.7157 0.7101  11 In 3.42-3.77, 3 Pd 3.48-3.59
In 0.1331 0.1331 0.4312  1 Pd 2.81, 2 In 3.09
In 0.1468 0.1468 0.8526  4 Pd 2.86-2.99
In 0.3470 0.3470 0.7247  1 Pd 2.79, 2 In 3.09
In 0.4917 0.4917 0.3250  3 Pd 2.79-3.03
In 0.5083 0.5083 0.6750  3 Pd 2.79-3.03
In 0.6530 0.6530 0.2753  1 Pd 2.79, 2 In 3.09
In 0.8532 0.8532 0.1474  4 Pd 2.86-2.99
In 0.8669 0.8669 0.5688  1 Pd 2.81, 2 In 3.09
Pd 0.0000 0.0000 0.5000  8 In 2.81-3.03
Pd 0.3433 0.3433 0.0055  5 In 2.79-2.98
Pd 0.6567 0.6567 0.9945  5 In 2.79-2.98


<ii>
Below is an optimized crystal structure of Ba3In8Pd3, with properties calculated at the PBE-GGA level.

Summary:
The calculation puts the size of the total moment at 0.000 μB per atom.

abc: 9.3197 9.3197 9.3197
angles: 149.80 103.92 83.99
Last column: nearest neighbours and their distance in Å.
Positions (direct):
Ba 0.0000 0.0000 0.0000  12 In 3.63-3.83, 4 Pd 3.76
Ba 0.3339 0.3339 0.0000  4 Pd 3.34-3.68, 8 In 3.54-3.64
Ba 0.6661 0.6661 0.0000  4 Pd 3.34-3.68, 8 In 3.54-3.64
In 0.0358 0.6782 0.3577  1 Pd 2.76, 3 In 3.05-3.09
In 0.1764 0.8899 0.2865  3 Pd 2.89-2.90, 4 In 3.05-3.09
In 0.3205 0.6782 0.6424  1 Pd 2.76, 3 In 3.05-3.09
In 0.3965 0.1101 0.2865  3 Pd 2.89-2.90, 4 In 3.05-3.09
In 0.6035 0.8899 0.7135  3 Pd 2.89-2.90, 4 In 3.05-3.09
In 0.6795 0.3218 0.3577  1 Pd 2.76, 3 In 3.05-3.09
In 0.8236 0.1101 0.7135  3 Pd 2.89-2.90, 4 In 3.05-3.09
In 0.9642 0.3218 0.6424  1 Pd 2.76, 3 In 3.05-3.09
Pd 0.2501 0.5000 0.7501  6 In 2.76-2.90
Pd 0.5000 0.0000 0.5000  4 In 2.89
Pd 0.7499 0.5000 0.2499  6 In 2.76-2.90


Stability ranking, top entry: <ii>; the second entry is 13 meV/atom less favorable.